[1]
Dy4Er3Ni2 GGA-PBE relaxed; total moment = 0.0 μB per formula unit; formation enthalpy at 0 K = -1.6 eV/f.u.
1.0
3.4435 0.0000 -0.9495
-0.7580 8.4796 -2.7491
0.4514 -0.6361 8.3565
Dy Er Ni
4 3 2
Direct
0.2302 0.6534 0.4604
0.7698 0.3466 0.5396
0.6340 0.8931 0.2680
0.3660 0.1069 0.7320
0.0697 0.1879 0.1393
0.9303 0.8121 0.8607
0.0000 0.5000 0.0000
0.3821 0.5614 0.7643
0.6179 0.4386 0.2357

=====

[2]
Dy5ErNi2 GGA-PBE relaxed; total moment = 0.0 μB per formula unit; formation enthalpy at 0 K = -1.3 eV/f.u.
1.0
-2.4506 1.9901 1.7978
1.1822 -5.3924 3.9099
13.4783 9.0293 8.3772
Dy Er Ni
10 2 4
Direct
0.9389 0.8777 0.9147
0.9389 0.8777 0.5853
0.3230 0.6460 0.4369
0.3230 0.6460 0.0631
0.5469 0.0938 0.2500
0.4531 0.9062 0.7500
0.6770 0.3540 0.5631
0.6770 0.3540 0.9369
0.0611 0.1223 0.0853
0.0611 0.1223 0.4147
0.7321 0.4641 0.7500
0.2679 0.5359 0.2500
0.6988 0.3975 0.3603
0.6988 0.3975 0.1397
0.3012 0.6025 0.6397
0.3012 0.6025 0.8603

=====

[3]
DyEr3Ni8 GGA-PBE relaxed; total moment = 0.0 μB per formula unit; formation enthalpy at 0 K = -5.7 eV/f.u.
1.0
-1.9759 -1.5549 -4.3684
2.5320 -3.2597 -2.8928
-3.4695 -7.8992 1.4732
Dy Er Ni
1 3 8
Direct
0.8751 0.8751 0.3746
0.3750 0.3750 0.8749
0.0001 0.0001 0.9996
0.4997 0.4997 0.5008
0.9379 0.4377 0.1867
0.4365 0.9376 0.6883
0.4377 0.4377 0.1867
0.9376 0.9376 0.6883
0.1874 0.1874 0.4378
0.6875 0.6875 0.9376
0.4377 0.9379 0.1867
0.9376 0.4365 0.6883